Entry 1:
This record from the Alexandria database describes CeTl3F6 after structural relaxation. The functional is PBE-GGA.

a = 7.0071 Å, b = 6.6967 Å, c = 9.6383 Å
α = 88.88°, β = 90.00°, γ = 90.00°
With the nearest neighbours (Å) after each atom.
Fractional positions:
Ce (0.5000, 0.5000, 0.5000)  6 F 2.30-2.31
Ce (0.0000, 0.0000, 0.0000)  6 F 2.30-2.31
Tl (0.0408, 0.4873, 0.2463)  4 F 2.71-2.98
Tl (0.5000, 0.5000, 0.0000)  6 F 2.79-2.87
Tl (0.9592, 0.5127, 0.7537)  4 F 2.71-2.98
Tl (0.4592, 0.9873, 0.7463)  4 F 2.71-2.98
Tl (0.0000, 0.0000, 0.5000)  6 F 2.79-2.87
Tl (0.5408, 0.0127, 0.2537)  4 F 2.71-2.98
F (0.8372, 0.2877, 0.0500)  1 Ce 2.30
F (0.7750, 0.3457, 0.4288)  1 Ce 2.30
F (0.5561, 0.3776, 0.7216)  1 Ce 2.31
F (0.4439, 0.6224, 0.2784)  1 Ce 2.31
F (0.2250, 0.6543, 0.5712)  1 Ce 2.30
F (0.1628, 0.7123, 0.9500)  1 Ce 2.30
F (0.6628, 0.7877, 0.5500)  1 Ce 2.30
F (0.7250, 0.8457, 0.9288)  1 Ce 2.30
F (0.9439, 0.8776, 0.2216)  1 Ce 2.31
F (0.0561, 0.1224, 0.7784)  1 Ce 2.31
F (0.2750, 0.1543, 0.0712)  1 Ce 2.30
F (0.3372, 0.2123, 0.4500)  1 Ce 2.30

Summary:
- formation energy from raw total energies (meV/atom) = -2647.7
- D(E_F) (states/eV/atom) = 0.1737

Entry 2:
This record from the Alexandria database describes NaSm2PbO6 after structural relaxation. The functional is PBE-GGA.

a = 5.9019 Å, b = 5.9015 Å, c = 6.2465 Å
α = 61.81°, β = 61.80°, γ = 60.00°
With the nearest neighbours (Å) after each atom.
Fractional positions:
Na (0.8040, 0.8039, 0.5882)  6 O 2.38-2.58
Sm (0.5259, 0.5259, 0.4223)  6 O 2.33-2.41
Sm (0.0205, 0.0205, 0.9385)  6 O 2.30-2.42
Pb (0.3127, 0.3127, 0.0620)  6 O 2.17-2.27
O (0.6007, 0.2192, 0.2416)  1 Pb 2.17, 2 Sm 2.33-2.42
O (0.2192, 0.9386, 0.2415)  1 Pb 2.17, 2 Sm 2.33-2.42
O (0.9386, 0.6007, 0.2415)  1 Pb 2.17, 2 Sm 2.33-2.42
O (0.4004, 0.6963, 0.7598)  1 Pb 2.27, 2 Sm 2.30-2.41, 1 Na 2.38
O (0.6963, 0.1435, 0.7599)  1 Pb 2.27, 2 Sm 2.30-2.41, 1 Na 2.38
O (0.1434, 0.4004, 0.7599)  1 Pb 2.27, 2 Sm 2.30-2.41, 1 Na 2.38

Summary:
- formation energy from raw total energies (meV/atom) = -2100.6
- D(E_F) (states/eV/atom) = 0.9566

Entry 3:
This record from the Alexandria database describes ScCuPb2 after structural relaxation. The functional is PBE-GGA.

a = 3.6853 Å, b = 3.6853 Å, c = 7.0414 Å
α = 90.00°, β = 90.00°, γ = 103.70°
With the nearest neighbours (Å) after each atom.
Fractional positions:
Cu (0.5000, 0.5000, 0.7500)  4 Pb 2.78
Pb (0.0000, 0.0000, 0.9774)  2 Cu 2.78, 2 Sc 2.98
Pb (0.0000, 0.0000, 0.5226)  2 Cu 2.78, 2 Sc 2.98
Sc (0.5000, 0.5000, 0.2500)  4 Pb 2.98

Summary:
- calculated formation energy (eV per atom) = 0.01
- D(E_F) (states/eV/atom) = 0.4826
- excess energy over the best structure of this formula in the dataset (meV per atom) = 79

Entry 4:
This record from the Alexandria database describes Mn2ZnIn after structural relaxation. The functional is PBE-GGA.

a = 3.7612 Å, b = 3.7612 Å, c = 9.4848 Å
α = 78.56°, β = 78.56°, γ = 90.00°
With the nearest neighbours (Å) after each atom.
Fractional positions:
Zn (0.5000, 0.5000, 0.0000)  4 Mn 2.53, 4 In 2.66
Zn (0.2500, 0.7500, 0.5000)  4 Mn 2.53, 4 In 2.66
Mn (0.5273, 0.1250, 0.2500)  2 Mn 2.20
Mn (0.2227, 0.6250, 0.2500)  2 Mn 2.20
Mn (0.3750, 0.4727, 0.7500)  2 Mn 2.20
Mn (0.8750, 0.7773, 0.7500)  2 Mn 2.20
In (0.0000, 0.0000, 0.0000)  4 Zn 2.66, 4 Mn 2.79
In (0.7500, 0.2500, 0.5000)  4 Zn 2.66, 4 Mn 2.79

Summary:
- calculated formation energy (eV per atom) = 0.68
- D(E_F) (states/eV/atom) = 0.9211

Entry 5:
This record from the Alexandria database describes Li2TbNp3Se6 after structural relaxation. The functional is PBE-GGA.

a = 7.0587 Å, b = 7.0587 Å, c = 7.0692 Å
α = 99.61°, β = 99.61°, γ = 119.97°
With the nearest neighbours (Å) after each atom.
Fractional positions:
Li (0.3326, 0.6674, 0.0000)  6 Se 2.83-2.84
Li (0.6674, 0.3326, 0.0000)  6 Se 2.83-2.84
Tb (0.0000, 0.0000, 0.0000)  6 Se 2.87-2.88
Np (0.1658, 0.8342, 0.5000)  6 Se 2.90-2.93
Np (0.8342, 0.1658, 0.5000)  6 Se 2.90-2.93
Np (0.5000, 0.5000, 0.5000)  6 Se 2.90-2.93
Se (0.9195, 0.5820, 0.7578)  2 Li 2.83-2.84, 1 Tb 2.88, 3 Np 2.90-2.93
Se (0.7424, 0.7424, 0.2406)  2 Li 2.84, 1 Tb 2.87, 3 Np 2.90-2.92
Se (0.0805, 0.4180, 0.2422)  2 Li 2.83-2.84, 1 Tb 2.88, 3 Np 2.90-2.93
Se (0.5820, 0.9195, 0.7578)  2 Li 2.83-2.84, 1 Tb 2.88, 3 Np 2.90-2.93
Se (0.2576, 0.2576, 0.7594)  2 Li 2.84, 1 Tb 2.87, 3 Np 2.90-2.92
Se (0.4180, 0.0805, 0.2422)  2 Li 2.83-2.84, 1 Tb 2.88, 3 Np 2.90-2.93

Summary:
- formation energy from raw total energies (meV/atom) = -1293.7
- D(E_F) (states/eV/atom) = 2.3825

Entry 6:
This record from the Alexandria database describes V2CrW after structural relaxation. The functional is PBE-GGA.

a = 5.5037 Å, b = 5.5037 Å, c = 5.5037 Å
α = 55.21°, β = 134.50°, γ = 150.42°
With the nearest neighbours (Å) after each atom.
Fractional positions:
V (0.0000, 0.2372, 0.2372)  1 Cr 2.31, 4 V 2.56, 1 W 2.56
V (0.0000, 0.7628, 0.7628)  1 Cr 2.31, 4 V 2.56, 1 W 2.56
Cr (0.0000, 0.0000, 0.0000)  2 V 2.31, 4 W 2.55
W (0.0000, 0.5000, 0.5000)  4 Cr 2.55, 2 V 2.56, 2 W 2.81

Summary:
- calculated formation energy (eV per atom) = 0.66
- D(E_F) (states/eV/atom) = 1.3482

The lowest D(E_F) belongs to which entry?
CeTl3F6

Which of these has the lowest D(E_F)?
CeTl3F6